1.
Dy10YHo4: optimized geometry, PBE.

a b c (Å): 9.3844 9.3844 9.3844
angles (deg): 99.59 99.59 131.82
Sites, in units of the cell vectors:
Dy (0.0476, 0.3490, 0.8987)
Dy (0.1489, 0.0476, 0.6987)
Dy (0.2500, 0.7500, 0.5000)
Dy (0.3490, 0.4503, 0.3013)
Dy (0.4503, 0.1489, 0.1013)
Dy (0.5497, 0.8511, 0.8987)
Dy (0.6510, 0.5497, 0.6987)
Dy (0.7500, 0.2500, 0.5000)
Dy (0.8511, 0.9524, 0.3013)
Dy (0.9524, 0.6510, 0.1013)
Y (0.5000, 0.5000, 0.0000)
Ho (0.1003, 0.7003, 0.8006)
Ho (0.2997, 0.1003, 0.4000)
Ho (0.7003, 0.8997, 0.6000)
Ho (0.8997, 0.2997, 0.1994)

Computed properties:
Formation energy from the elements, kcal/mol of atoms: 16.858

=====

2.
Tl2FeIr: optimized geometry, PBE.

a b c (Å): 3.1004 3.1004 9.1177
angles (deg): 90.00 90.00 119.14
Sites, in units of the cell vectors:
Tl (0.0000, 0.0000, 0.2475)
Tl (0.0000, 0.0000, 0.7525)
Fe (0.5000, 0.5000, 0.0000)
Ir (0.5000, 0.5000, 0.5000)

Computed properties:
Formation energy from the elements, kcal/mol of atoms: 16.585

=====

3.
CeAg3Br2Cl6: optimized geometry, PBE.

a b c (Å): 7.9695 7.9695 6.2549
angles (deg): 94.94 94.94 58.90
Sites, in units of the cell vectors:
Ce (0.0000, 0.0000, 0.0000)
Ag (0.0000, 0.5000, 0.0000)
Ag (0.5000, 0.0000, 0.0000)
Ag (0.5000, 0.5000, 0.5000)
Br (0.3304, 0.3304, 0.2524)
Br (0.6696, 0.6696, 0.7476)
Cl (0.1559, 0.1559, 0.7722)
Cl (0.1633, 0.6781, 0.7471)
Cl (0.3219, 0.8367, 0.2529)
Cl (0.6781, 0.1633, 0.7471)
Cl (0.8367, 0.3219, 0.2529)
Cl (0.8441, 0.8441, 0.2278)

Computed properties:
Formation energy (no corrections), kJ/mol of atoms: -96

=====

4.
Li2Ca3Ni7: optimized geometry, PBE.

a b c (Å): 8.6487 8.6487 8.6487
angles (deg): 34.07 34.07 34.07
Sites, in units of the cell vectors:
Li (0.1657, 0.1657, 0.1657)
Li (0.8343, 0.8343, 0.8343)
Ca (0.3601, 0.3601, 0.3601)
Ca (0.5000, 0.5000, 0.5000)
Ca (0.6399, 0.6399, 0.6399)
Ni (0.0000, 0.0000, 0.0000)
Ni (0.0846, 0.0846, 0.5833)
Ni (0.0846, 0.5833, 0.0846)
Ni (0.4167, 0.9154, 0.9154)
Ni (0.5833, 0.0846, 0.0846)
Ni (0.9154, 0.4167, 0.9154)
Ni (0.9154, 0.9154, 0.4167)

Computed properties:
Formation energy from the elements, kcal/mol of atoms: -3.065

=====

5.
BaPd2F: optimized geometry, PBE.

a b c (Å): 4.9072 4.9072 4.9072
angles (deg): 60.00 60.00 60.00
Sites, in units of the cell vectors:
Ba (0.0000, 0.0000, 0.0000)
Pd (0.2500, 0.2500, 0.2500)
Pd (0.7500, 0.7500, 0.7500)
F (0.5000, 0.5000, 0.5000)

Computed properties:
Formation energy (no corrections), kJ/mol of atoms: -46

=====

6.
LiEuYIn: optimized geometry, PBE.

a b c (Å): 5.4266 5.4266 5.4266
angles (deg): 60.00 60.00 60.00
Sites, in units of the cell vectors:
Li (0.0000, 0.0000, 0.0000)
Eu (0.2500, 0.2500, 0.2500)
Y (0.7500, 0.7500, 0.7500)
In (0.5000, 0.5000, 0.5000)

Computed properties:
Formation energy from the elements, kcal/mol of atoms: -5.548

=====

7.
K5H4Br: optimized geometry, PBE.

a b c (Å): 7.1934 7.1934 10.3765
angles (deg): 117.60 117.60 33.51
Sites, in units of the cell vectors:
K (0.0000, 0.0000, 0.0000)
K (0.2090, 0.2090, 0.8193)
K (0.3902, 0.3902, 0.6260)
K (0.6098, 0.6098, 0.3740)
K (0.7910, 0.7910, 0.1807)
H (0.1946, 0.1946, 0.2830)
H (0.4004, 0.4004, 0.0926)
H (0.5996, 0.5996, 0.9074)
H (0.8054, 0.8054, 0.7170)
Br (0.0000, 0.0000, 0.5000)

Computed properties:
Energy, eV/atom: -2.550

=====

8.
TlZnAg2Cl6: optimized geometry, PBE.

a b c (Å): 9.5670 9.5670 7.9460
angles (deg): 105.85 105.85 105.05
Sites, in units of the cell vectors:
Tl (0.1092, 0.8908, 0.7500)
Tl (0.8908, 0.1092, 0.2500)
Zn (0.1843, 0.8157, 0.2500)
Zn (0.8157, 0.1843, 0.7500)
Ag (0.2975, 0.4630, 0.8594)
Ag (0.4630, 0.2975, 0.3594)
Ag (0.5370, 0.7025, 0.6406)
Ag (0.7025, 0.5370, 0.1406)
Cl (0.0550, 0.2167, 0.7075)
Cl (0.1469, 0.6514, 0.9638)
Cl (0.2167, 0.0550, 0.2075)
Cl (0.3076, 0.4470, 0.5144)
Cl (0.3486, 0.8531, 0.5362)
Cl (0.4470, 0.3076, 0.0144)
Cl (0.5530, 0.6924, 0.9856)
Cl (0.6514, 0.1469, 0.4638)
Cl (0.6924, 0.5530, 0.4856)
Cl (0.7833, 0.9450, 0.7925)
Cl (0.8531, 0.3486, 0.0362)
Cl (0.9450, 0.7833, 0.2925)

Computed properties:
Formation energy (no corrections), kJ/mol of atoms: -70

=====

no.,total magnetic moment (μB/f.u.)
1,0.0
2,2.5
3,0.0
4,0.0
5,0.0
6,7.2
7,0.1
8,0.9